RhWF2: optimized geometry, GGA+U.

POSCAR file:
```
RhWF2
1.0
5.8992 0.0000 0.0000
0.0000 5.8992 0.0000
0.0000 0.0000 5.8992
Rh W F
4 4 8
Direct
0.0000 0.0000 0.0000 Rh
0.0000 0.5000 0.5000 Rh
0.5000 0.0000 0.5000 Rh
0.5000 0.5000 0.0000 Rh
0.0000 0.0000 0.5000 W
0.0000 0.5000 0.0000 W
0.5000 0.0000 0.0000 W
0.5000 0.5000 0.5000 W
0.2500 0.2500 0.2500 F
0.2500 0.2500 0.7500 F
0.2500 0.7500 0.2500 F
0.2500 0.7500 0.7500 F
0.7500 0.2500 0.2500 F
0.7500 0.2500 0.7500 F
0.7500 0.7500 0.2500 F
0.7500 0.7500 0.7500 F
```

## Properties
Crystal system ... cubic
Energy ... -4.429 eV/atom
Symmetry ... No. 225
Spin magnetization ... 0.000 μB/cell